# 1
Material: NdPaPN
Method: DFT, PBE
State: optimized geometry

Values from the calculation:
Symmetry ... R-3m, No. 166
E_form (uncorrected) ... -1394 meV/atom
Total DFT energy (no corrections) ... -67.15 eV for the cell shown

a b c (Å): 13.596 13.596 13.596
angles (deg): 16.48 16.48 16.48
Fractional coordinates of all 8 atoms:
Nd 0.208 0.208 0.208
Nd 0.792 0.792 0.792
Pa 0.370 0.370 0.370
Pa 0.630 0.630 0.630
P 0.081 0.081 0.081
P 0.919 0.919 0.919
N 0.313 0.313 0.313
N 0.687 0.687 0.687


# 2
Material: NdPaPN2
Method: DFT, PBE
State: optimized geometry

Values from the calculation:
Symmetry ... I4mm, No. 107
E_form (uncorrected) ... -1272 meV/atom
Total DFT energy (no corrections) ... -85.37 eV for the cell shown

a b c (Å): 3.876 3.876 12.592
angles (deg): 90.00 90.00 90.00
Fractional coordinates of all 10 atoms:
Nd 0.000 0.000 0.000
Nd 0.500 0.500 0.500
Pa 0.000 0.000 0.308
Pa 0.500 0.500 0.808
P 0.000 0.000 0.655
P 0.500 0.500 0.155
N 0.000 0.500 0.388
N 0.000 0.500 0.888
N 0.500 0.000 0.388
N 0.500 0.000 0.888


# 3
Material: NdPa2PN5
Method: DFT, PBE
State: optimized geometry

Values from the calculation:
Symmetry ... P4/mbm, No. 127
E_form (uncorrected) ... -1111 meV/atom
Total DFT energy (no corrections) ... -161.58 eV for the cell shown

a b c (Å): 6.619 6.619 5.425
angles (deg): 90.00 90.00 90.00
Fractional coordinates of all 18 atoms:
Nd 0.000 0.000 0.000
Nd 0.500 0.500 0.000
Pa 0.176 0.324 0.500
Pa 0.324 0.824 0.500
Pa 0.676 0.176 0.500
Pa 0.824 0.676 0.500
P 0.000 0.500 0.000
P 0.500 0.000 0.000
N 0.000 0.000 0.500
N 0.138 0.638 0.237
N 0.138 0.638 0.763
N 0.362 0.138 0.237
N 0.362 0.138 0.763
N 0.500 0.500 0.500
N 0.638 0.862 0.237
N 0.638 0.862 0.763
N 0.862 0.362 0.237
N 0.862 0.362 0.763


# 4
Material: Nd2PaPN5
Method: DFT, PBE
State: optimized geometry

Values from the calculation:
Symmetry ... P4/mbm, No. 127
E_form (uncorrected) ... -782 meV/atom
Total DFT energy (no corrections) ... -146.21 eV for the cell shown

a b c (Å): 6.450 6.450 5.803
angles (deg): 90.00 90.00 90.00
Fractional coordinates of all 18 atoms:
Nd 0.172 0.328 0.000
Nd 0.328 0.828 0.000
Nd 0.672 0.172 0.000
Nd 0.828 0.672 0.000
Pa 0.000 0.000 0.500
Pa 0.500 0.500 0.500
P 0.000 0.500 0.500
P 0.500 0.000 0.500
N 0.000 0.000 0.000
N 0.138 0.638 0.295
N 0.138 0.638 0.705
N 0.362 0.138 0.295
N 0.362 0.138 0.705
N 0.500 0.500 0.000
N 0.638 0.862 0.295
N 0.638 0.862 0.705
N 0.862 0.362 0.295
N 0.862 0.362 0.705


# 5
Material: Nd2P2PdN6
Method: DFT, PBE
State: optimized geometry

Values from the calculation:
Symmetry ... R-3m, No. 166
E_form (uncorrected) ... -485 meV/atom
Total DFT energy (no corrections) ... -80.84 eV for the cell shown

a b c (Å): 6.284 6.284 6.284
angles (deg): 51.56 51.56 51.56
Fractional coordinates of all 11 atoms:
Nd 0.214 0.214 0.214
Nd 0.786 0.786 0.786
P 0.432 0.432 0.432
P 0.568 0.568 0.568
Pd 0.000 0.000 0.000
N 0.240 0.749 0.749
N 0.251 0.251 0.760
N 0.251 0.760 0.251
N 0.749 0.240 0.749
N 0.749 0.749 0.240
N 0.760 0.251 0.251


# 6
Material: Pm2NdP2N6
Method: DFT, PBE
State: optimized geometry

Values from the calculation:
Symmetry ... C2/m, No. 12
E_form (uncorrected) ... -963 meV/atom
Total DFT energy (no corrections) ... -85.63 eV for the cell shown

a b c (Å): 5.613 5.613 6.691
angles (deg): 115.27 115.27 59.72
Fractional coordinates of all 11 atoms:
Pm 0.204 0.204 0.175
Pm 0.796 0.796 0.825
Nd 0.000 0.000 0.500
P 0.462 0.462 0.740
P 0.538 0.538 0.260
N 0.197 0.681 0.165
N 0.276 0.276 0.618
N 0.319 0.803 0.835
N 0.681 0.197 0.165
N 0.724 0.724 0.382
N 0.803 0.319 0.835


The highest total DFT energy (no corrections) belongs to which entry? NdPaPN


What is the formula in the fifth record? Nd2P2PdN6


Which value of E_form (uncorrected) does entry 1 give? -1394 meV/atom


Which of these has the highest E_form (uncorrected)? Nd2P2PdN6